Record 1
This record from Alexandria describes crystalline Na2TbGe3Pt4 at its relaxed geometry. The functional is PBE-GGA.

Computed properties:
The value obtained for the volume is 205 Å³ per cell. The total moment is 0.0 μB per formula unit. For the formation energy, the calculation gives -0.59 eV/atom.

Lattice parameters (Å, degrees): 4.3523 4.3523 10.8280 90.00 90.00 90.00
Space group P-4m2 (No. 115)
Unique sites:
1 Na 0.0000 0.5000 0.2268 x2
2 Tb 0.0000 0.0000 0.5000 x1
3 Ge 0.0000 0.5000 0.8804 x2
4 Ge 0.5000 0.5000 0.5000 x1
5 Pt 0.0000 0.0000 0.0000 x1
6 Pt 0.0000 0.5000 0.6552 x2
7 Pt 0.5000 0.5000 0.0000 x1


Record 2
This record from Alexandria describes crystalline NaCaTiGa2 at its relaxed geometry. The functional is PBE-GGA.

Computed properties:
The value obtained for the volume is 128 Å³ per cell. The total moment is 1.8 μB per formula unit. For the formation energy, the calculation gives 0.70 eV/atom.

Lattice parameters (Å, degrees): 5.0315 5.0315 5.0517 90.00 90.00 90.00
Space group P4/mmm (No. 123)
Unique sites:
1 Na 0.0000 0.0000 0.0000 x1
2 Ca 0.5000 0.5000 0.5000 x1
3 Ti 0.0000 0.0000 0.5000 x1
4 Ga 0.0000 0.5000 0.0000 x2


Record 3
This record from Alexandria describes crystalline Pu6AsSe5 at its relaxed geometry. The functional is PBE-GGA.

Computed properties:
The calculation puts the formation energy without anion corrections at -1459 meV per atom. The value obtained for the volume is 609 Å³ per cell. The total moment is 34.0 μB per formula unit.

Lattice parameters (Å, degrees): 7.1963 12.4653 7.1991 90.00 109.46 90.00
Space group C2/m (No. 12)
Unique sites:
1 Pu 0.2480 0.0000 0.2514 x4
2 Pu 0.2482 0.1655 0.7482 x8
3 As 0.0000 0.0000 0.5000 x2
4 Se 0.0000 0.1674 0.0000 x4
5 Se 0.0000 0.3335 0.5000 x4
6 Se 0.0000 0.5000 0.0000 x2


Record 4
This record from Alexandria describes crystalline K2TlTcBr6 at its relaxed geometry. The functional is PBE-GGA.

Computed properties:
The calculation puts the formation energy without anion corrections at -956 meV per atom. The value obtained for the volume is 2317 Å³ per cell. The total moment is 2.0 μB per formula unit.

Lattice parameters (Å, degrees): 7.5053 7.5053 47.5003 90.00 90.00 120.00
Space group R-3m (No. 166, hexagonal axes)
Unique sites:
1 K 0.0000 0.0000 0.1441 x6
2 K 0.0000 0.0000 0.3122 x6
3 Tl 0.0000 0.0000 0.4169 x6
4 Tc 0.0000 0.0000 0.0000 x3
5 Tc 0.0000 0.0000 0.5000 x3
6 Br 0.0111 0.5055 0.1351 x18
7 Br 0.0137 0.5069 0.6982 x18


Record 5
This record from Alexandria describes crystalline HoTmTh2Sc4 at its relaxed geometry. The functional is PBE-GGA.

Computed properties:
The value obtained for the volume is 927 Å³ per cell. The total moment is 0.0 μB per formula unit. For the formation energy, the calculation gives 0.44 eV/atom.

Lattice parameters (Å, degrees): 6.5130 11.1976 12.7093 90.00 90.00 90.00
Space group Imma (No. 74)
Unique sites:
1 Ho 0.2500 0.2500 0.2500 x4
2 Tm 0.0000 0.0000 0.0000 x4
3 Th 0.0000 0.0000 0.5000 x4
4 Th 0.2500 0.2500 0.7500 x4
5 Sc 0.0000 0.0048 0.7537 x8
6 Sc 0.2464 0.2500 0.4991 x8


Record 6
This record from Alexandria describes crystalline Tm2Pd6Pt at its relaxed geometry. The functional is PBE-GGA.

Computed properties:
The value obtained for the volume is 157 Å³ per cell. For the energy above the lowest structure with this stoichiometry, the calculation gives 220 meV per atom. The total moment is 0.0 μB per formula unit. For the formation energy, the calculation gives -0.50 eV/atom.

Lattice parameters (Å, degrees): 7.7750 7.7750 2.9984 90.00 90.00 120.00
Space group P-3 (No. 147)
Unique sites:
1 Tm 0.3333 0.6667 0.4162 x2
2 Pd 0.0213 0.6791 0.8321 x6
3 Pt 0.0000 0.0000 0.5000 x1